A relaxed AlFe3 crystal. Source: the Alexandria database, functional PBE.

Its space group is R-3m. The total magnetic moment comes out at 7.0 μB per formula unit. The energy of formation is 0.9 kcal/mol of atoms.

Cell and atoms, written as POSCAR:
```
AlFe3
1.0
8.576 0.000 0.000
8.180 2.574 0.000
8.180 1.257 2.246
Fe Al
3 1
Direct
0.749 0.749 0.749
0.500 0.500 0.500
0.251 0.251 0.251
0.000 0.000 0.000
```